No. 1
Entry from Alexandria: a relaxed structure of LiTi2Pd6 (PBE).

total energy = -5.716 eV/atom
DOS(E_F) = 0.3953 states/eV/atom
DFT formation energy = -287 meV/atom
spin magnetization = 0.0 μB per formula unit

a = 12.7415 Å, b = 6.2704 Å, c = 3.9682 Å
α = 90.00°, β = 108.06°, γ = 90.00°
Space group C2/m (No. 12)
Unique sites:
Li: 0.0000 0.0000 0.0000 (multiplicity 2)
Ti: 0.1510 0.5000 0.6509 (multiplicity 4)
Pd: 0.0000 0.2290 0.5000 (multiplicity 4)
Pd: 0.1671 0.2358 0.1669 (multiplicity 8)


No. 2
Entry from Alexandria: a relaxed structure of La3Pr2Tl4 (PBE).

total energy = -4.094 eV/atom
distance to the lowest polymorph of the same formula = 0 meV per atom
DOS(E_F) = 1.2728 states/eV/atom
DFT formation energy = -338 meV/atom
spin magnetization = 0.0 μB per formula unit

a = 9.6004 Å, b = 5.5348 Å, c = 10.7513 Å
α = 90.00°, β = 90.12°, γ = 90.00°
Space group C2/m (No. 12)
Unique sites:
La: 0.0000 0.0000 0.0000 (multiplicity 2)
La: 0.1673 0.5000 0.5752 (multiplicity 4)
Pr: 0.1662 0.5000 0.2164 (multiplicity 4)
Tl: 0.0006 0.0000 0.6542 (multiplicity 4)
Tl: 0.1670 0.5000 0.8965 (multiplicity 4)


No. 3
Entry from Alexandria: a relaxed structure of CaScCo (PBE).

total energy = -4.990 eV/atom
distance to the lowest polymorph of the same formula = 171 meV per atom
DOS(E_F) = 0.3550 states/eV/atom
DFT formation energy = 156 meV/atom
spin magnetization = 0.0 μB per formula unit

a = 3.6438 Å, b = 3.6438 Å, c = 6.3436 Å
α = 90.00°, β = 90.00°, γ = 120.00°
Space group P3m1 (No. 156)
Unique sites:
Ca: 0.0000 0.0000 0.0000 (multiplicity 1)
Sc: 0.3333 0.6667 0.4928 (multiplicity 1)
Co: 0.6667 0.3333 0.2887 (multiplicity 1)


No. 4
Entry from Alexandria: a relaxed structure of La5Ag2Bi (PBE).

total energy = -4.652 eV/atom
DOS(E_F) = 1.4417 states/eV/atom
DFT formation energy = -374 meV/atom
spin magnetization = 0.0 μB per formula unit

a = 8.6400 Å, b = 8.6400 Å, c = 13.6810 Å
α = 90.00°, β = 90.00°, γ = 90.00°
Space group I4/mcm (No. 140)
Unique sites:
La: 0.0000 0.0000 0.0000 (multiplicity 4)
La: 0.1543 0.3457 0.1470 (multiplicity 16)
Ag: 0.1346 0.3654 0.5000 (multiplicity 8)
Bi: 0.0000 0.0000 0.2500 (multiplicity 4)


No. 5
Entry from Alexandria: a relaxed structure of Li2GeS (PBE).

total energy = -3.572 eV/atom
distance to the lowest polymorph of the same formula = 0 meV per atom
DOS(E_F) = 0.3528 states/eV/atom
formation energy without anion corrections = -428 meV/atom
spin magnetization = 0.0 μB per formula unit

a = 7.1837 Å, b = 7.1837 Å, c = 5.4281 Å
α = 90.00°, β = 90.00°, γ = 90.00°
Space group I-42d (No. 122)
Unique sites:
Li: 0.1888 0.2500 0.1250 (multiplicity 8)
Ge: 0.0000 0.0000 0.5000 (multiplicity 4)
S: 0.0000 0.0000 0.0000 (multiplicity 4)


No. 6
Entry from Alexandria: a relaxed structure of LaDy2Y5Ho (PBE).

total energy = -5.398 eV/atom
DOS(E_F) = 1.3478 states/eV/atom
DFT formation energy = 272 meV/atom
spin magnetization = 0.0 μB per formula unit

a = 8.9503 Å, b = 8.9503 Å, c = 14.9215 Å
α = 90.00°, β = 90.00°, γ = 90.00°
Space group I4/mcm (No. 140)
Unique sites:
La: 0.0000 0.0000 0.2500 (multiplicity 4)
Dy: 0.1130 0.3870 0.0000 (multiplicity 8)
Y: 0.0000 0.0000 0.0000 (multiplicity 4)
Y: 0.2046 0.2954 0.3686 (multiplicity 16)
Ho: 0.0000 0.5000 0.2500 (multiplicity 4)